Entry 1:
Ca3DyTm2Se6 | PBE | relaxed

## Properties
Raw formation energy: -1.8486 eV per atom

abc: 7.084 12.255 7.192
angles: 90.00 109.20 90.00
Space group C2/m (No. 12)
Symmetry-distinct sites (fractional):
Ca (0.000, 0.000, 0.000)
Ca (0.000, 0.334, 0.000)
Dy (0.000, 0.500, 0.500)
Tm (0.000, 0.167, 0.500)
Se (0.244, 0.000, 0.742)
Se (0.249, 0.332, 0.743)


Entry 2:
Ca3Dy2TmSe6 | PBE | relaxed

## Properties
Raw formation energy: -1.8610 eV per atom

abc: 7.100 12.282 7.210
angles: 90.00 109.20 90.00
Space group C2/m (No. 12)
Symmetry-distinct sites (fractional):
Ca (0.000, 0.000, 0.000)
Ca (0.000, 0.332, 0.000)
Dy (0.000, 0.166, 0.500)
Tm (0.000, 0.500, 0.500)
Se (0.246, 0.335, 0.744)
Se (0.248, 0.500, 0.256)


Entry 3:
CaDy4Tm3Se8 | PBE | relaxed

## Properties
Raw formation energy: -1.7393 eV per atom

abc: 8.1113 8.1113 19.9919
angles: 90.00 90.00 120.00
Space group R-3m (No. 166, hexagonal axes)
Symmetry-distinct sites (fractional):
Ca (0.0000, 0.0000, 0.0000)
Dy (0.0000, 0.0000, 0.5000)
Dy (0.0000, 0.5000, 0.5000)
Tm (0.0000, 0.5000, 0.0000)
Se (0.0000, 0.0000, 0.2520)
Se (0.0028, 0.5014, 0.2513)


Entry 4:
Ca2DyTm2Se6 | PBE | relaxed

## Properties
Raw formation energy: -1.9194 eV per atom

abc: 7.042 12.228 7.224
angles: 90.00 108.89 90.00
Space group C2/m (No. 12)
Symmetry-distinct sites (fractional):
Ca (0.000, 0.166, 0.000)
Dy (0.000, 0.000, 0.500)
Tm (0.000, 0.334, 0.500)
Se (0.243, 0.500, 0.740)
Se (0.246, 0.169, 0.738)


Entry 5:
CaDy4TmSe8 | PBE | relaxed

## Properties
Raw formation energy: -1.7941 eV per atom

abc: 8.4434 8.4434 20.6221
angles: 90.00 90.00 120.00
Space group R3m (No. 160, hexagonal axes)
Symmetry-distinct sites (fractional):
Ca (0.0000, 0.0000, 0.0000)
Dy (0.0000, 0.0000, 0.2494)
Dy (0.1695, 0.3389, 0.4574)
Tm (0.0000, 0.0000, 0.6269)
Se (0.0000, 0.0000, 0.3823)
Se (0.0000, 0.0000, 0.8650)
Se (0.0282, 0.5141, 0.3769)
Se (0.1783, 0.3567, 0.2065)


Entry 6:
Ca3Dy3USe8 | PBE | relaxed

## Properties
Raw formation energy: -1.7622 eV per atom

abc: 8.1792 8.1792 20.6381
angles: 90.00 90.00 120.00
Space group R-3m (No. 166, hexagonal axes)
Symmetry-distinct sites (fractional):
Ca (0.0000, 0.5000, 0.0000)
Dy (0.0000, 0.5000, 0.5000)
U (0.0000, 0.0000, 0.5000)
Se (0.0000, 0.0000, 0.2482)
Se (0.0046, 0.5023, 0.7517)


Entry 7:
CaDy4Y3Se8 | PBE | relaxed

## Properties
Raw formation energy: -1.7798 eV per atom

abc: 8.1868 8.1868 20.0387
angles: 90.00 90.00 120.00
Space group R-3m (No. 166, hexagonal axes)
Symmetry-distinct sites (fractional):
Ca (0.0000, 0.0000, 0.0000)
Dy (0.0000, 0.0000, 0.5000)
Dy (0.0000, 0.5000, 0.5000)
Y (0.0000, 0.5000, 0.0000)
Se (0.0000, 0.0000, 0.2496)
Se (0.0001, 0.5000, 0.2496)


Entry 8:
CaDyY4Se8 | PBE | relaxed

## Properties
Raw formation energy: -1.8106 eV per atom

abc: 8.4648 8.4648 20.7352
angles: 90.00 90.00 120.00
Space group R3m (No. 160, hexagonal axes)
Symmetry-distinct sites (fractional):
Ca (0.0000, 0.0000, 0.0000)
Dy (0.0000, 0.0000, 0.6274)
Y (0.0000, 0.0000, 0.2500)
Y (0.1694, 0.3388, 0.4578)
Se (0.0000, 0.0000, 0.3829)
Se (0.0000, 0.0000, 0.8653)
Se (0.0263, 0.5132, 0.3782)
Se (0.1775, 0.3550, 0.2060)


Entry 9:
Ca3Dy3YSe8 | PBE | relaxed

## Properties
Raw formation energy: -1.9213 eV per atom

abc: 8.1978 8.1978 20.5066
angles: 90.00 90.00 120.00
Space group R-3m (No. 166, hexagonal axes)
Symmetry-distinct sites (fractional):
Ca (0.0000, 0.5000, 0.0000)
Dy (0.0000, 0.5000, 0.5000)
Y (0.0000, 0.0000, 0.5000)
Se (0.0000, 0.0000, 0.2483)
Se (0.0014, 0.5007, 0.7525)


Entry 10:
CaDy2YSe4 | PBE | relaxed

## Properties
Raw formation energy: -1.8118 eV per atom

abc: 7.110 4.086 7.114
angles: 90.00 109.15 90.00
Space group P2/m (No. 10)
Symmetry-distinct sites (fractional):
Ca (0.000, 0.000, 0.000)
Dy (0.500, 0.000, 0.500)
Dy (0.500, 0.500, 0.000)
Y (0.000, 0.500, 0.500)
Se (0.251, 0.000, 0.751)
Se (0.252, 0.500, 0.252)


Entry 11:
Ca3Dy2YSe6 | PBE | relaxed

## Properties
Raw formation energy: -1.8773 eV per atom

abc: 7.120 12.318 7.235
angles: 90.00 109.18 90.00
Space group C2/m (No. 12)
Symmetry-distinct sites (fractional):
Ca (0.000, 0.000, 0.000)
Ca (0.000, 0.334, 0.000)
Dy (0.000, 0.167, 0.500)
Y (0.000, 0.500, 0.500)
Se (0.248, 0.000, 0.746)
Se (0.249, 0.333, 0.746)


Entry 12:
CaDyY2Se4 | PBE | relaxed

## Properties
Raw formation energy: -1.8169 eV per atom

abc: 7.116 4.089 7.120
angles: 90.00 109.15 90.00
Space group P2/m (No. 10)
Symmetry-distinct sites (fractional):
Ca (0.000, 0.000, 0.000)
Dy (0.500, 0.500, 0.000)
Y (0.000, 0.500, 0.500)
Y (0.500, 0.000, 0.500)
Se (0.251, 0.000, 0.751)
Se (0.252, 0.500, 0.251)


Entry 13:
Ca4Dy3YSe8 | PBE | relaxed

## Properties
Raw formation energy: -1.8768 eV per atom

abc: 8.2102 8.2102 20.5132
angles: 90.00 90.00 120.00
Space group R-3m (No. 166, hexagonal axes)
Symmetry-distinct sites (fractional):
Ca (0.0000, 0.0000, 0.0000)
Ca (0.0000, 0.5000, 0.0000)
Dy (0.0000, 0.5000, 0.5000)
Y (0.0000, 0.0000, 0.5000)
Se (0.0000, 0.0000, 0.2485)
Se (0.9995, 0.4998, 0.2486)


Entry 14:
CaDySi | PBE | relaxed

## Properties
Raw formation energy: -0.4105 eV per atom

abc: 4.703 4.703 7.572
angles: 90.00 90.00 90.00
Space group P4/nmm (No. 129, origin choice 2)
Symmetry-distinct sites (fractional):
Ca (0.250, 0.250, 0.134)
Dy (0.250, 0.750, 0.500)
Si (0.250, 0.250, 0.736)


Entry 15:
CaDy4Si4 | PBE | relaxed

## Properties
Raw formation energy: -0.4874 eV per atom

abc: 9.318 9.318 5.735
angles: 90.00 90.00 90.00
Space group P4_2/n (No. 86, origin choice 2)
Symmetry-distinct sites (fractional):
Ca (0.250, 0.250, 0.250)
Dy (0.107, 0.636, 0.127)
Si (0.049, 0.589, 0.635)


Entry 16:
CaDySi4 | PBE | relaxed

## Properties
Raw formation energy: -0.4207 eV per atom

abc: 9.051 7.445 3.902
angles: 90.00 115.39 90.00
Space group C2/m (No. 12)
Symmetry-distinct sites (fractional):
Ca (0.000, 0.000, 0.000)
Dy (0.000, 0.500, 0.500)
Si (0.248, 0.339, 0.249)


Entry 17:
CaDySi | PBE | relaxed

## Properties
Raw formation energy: -0.4030 eV per atom

abc: 6.965 6.965 6.965
angles: 90.00 90.00 90.00
Space group F-43m (No. 216)
Symmetry-distinct sites (fractional):
Ca (0.000, 0.000, 0.000)
Dy (0.000, 0.000, 0.500)
Si (0.250, 0.250, 0.250)


Entry 18:
CaSm4Dy2 | PBE | relaxed

## Properties
E_form: 32 meV per atom

abc: 3.6179 3.6179 62.8560
angles: 90.00 90.00 120.00
Space group R-3m (No. 166, hexagonal axes)
Symmetry-distinct sites (fractional):
Ca (0.0000, 0.0000, 0.0000)
Sm (0.0000, 0.0000, 0.1432)
Sm (0.0000, 0.0000, 0.2820)
Dy (0.0000, 0.0000, 0.4299)


Entry 19:
CaSm9Dy2 | PBE | relaxed

## Properties
E_form: 40 meV per atom

abc: 5.133 5.133 15.401
angles: 90.00 90.00 90.00
Space group P4/mmm (No. 123)
Symmetry-distinct sites (fractional):
Ca (0.000, 0.000, 0.000)
Sm (0.000, 0.500, 0.173)
Sm (0.000, 0.500, 0.500)
Sm (0.500, 0.500, 0.000)
Sm (0.500, 0.500, 0.334)
Dy (0.000, 0.000, 0.334)


Entry 20:
CaSm2Dy6 | PBE | relaxed

## Properties
E_form: 222 meV per atom

abc: 9.191 14.587 8.992
angles: 90.00 93.11 90.00
Space group C2/c (No. 15)
Symmetry-distinct sites (fractional):
Ca (0.000, 0.101, 0.250)
Sm (0.172, 0.301, 0.829)
Dy (0.082, 0.103, 0.600)
Dy (0.098, 0.308, 0.421)
Dy (0.160, 0.482, 0.120)


Record order is preserved below.
Magnetization: 0.00; 0.00; 0.00; 0.00; 0.00; 9.23; 0.00; 0.00; 0.00; 0.00; 0.00; 0.00; 0.00; 0.00; 0.00; 0.00; 0.00; 0.00; 0.00; 0.00 Bohr magnetons per cell
Record order is preserved below.
E: -5.2200; -5.2434; -5.5956; -5.4153; -5.5625; -5.6939; -6.0097; -6.1203; -5.5314; -5.7628; -5.4257; -6.0006; -5.3864; -4.4194; -5.1654; -5.1366; -4.4119; -4.2658; -4.4335; -4.1170 eV per atom